Entry 1:
## TiFe3 (GGA-PBE)

Data for a relaxed structure of TiFe3.

The space group is P4/mmm (No. 123) and the conventional cell measures 4.033, 4.033 and 3.008 Å, with angles of 90.00, 90.00 and 90.00 degrees. The asymmetric unit holds Ti at (0.000, 0.000, 0.000), Fe at (0.000, 0.500, 0.500) and Fe at (0.500, 0.500, 0.000).

For the total energy, the calculation gives -8.52 eV/atom.

=====

Entry 2:
## TbSc2AlPd4 (GGA-PBE)

Data for a relaxed structure of TbSc2AlPd4.

The space group is R-3m (No. 166, hexagonal axes) and the conventional cell measures 4.6253, 4.6253 and 23.7716 Å, with angles of 90.00, 90.00 and 120.00 degrees. The asymmetric unit holds Tb at (0.0000, 0.0000, 0.0000), Sc at (0.0000, 0.0000, 0.2432), Al at (0.0000, 0.0000, 0.5000), Pd at (0.0000, 0.0000, 0.1289) and Pd at (0.0000, 0.0000, 0.3919).

For the total energy, the calculation gives -6.10 eV/atom.

=====

Entry 3:
## TlP2HCl (GGA-PBE)

Data for a relaxed structure of TlP2HCl.

The space group is P4/mmm (No. 123) and the conventional cell measures 5.292, 5.292 and 5.613 Å, with angles of 90.00, 90.00 and 90.00 degrees. The asymmetric unit holds Tl at (0.000, 0.000, 0.000), P at (0.000, 0.500, 0.000), H at (0.500, 0.500, 0.500) and Cl at (0.000, 0.000, 0.500).

Its excess energy over the best structure of this formula in the dataset is 4.154 eV per formula unit. For the total energy, the calculation gives -2.38 eV/atom.

=====

Entry 4:
## Pm6Y5Th2 (GGA-PBE)

Data for a relaxed structure of Pm6Y5Th2.

The space group is Pbam (No. 55) and the conventional cell measures 11.621, 20.988 and 3.622 Å, with angles of 90.00, 90.00 and 90.00 degrees. The asymmetric unit holds Pm at (0.067, 0.146, 0.000), Pm at (0.083, 0.438, 0.000), Pm at (0.182, 0.875, 0.500), Y at (0.000, 0.000, 0.500), Y at (0.066, 0.293, 0.500), Y at (0.185, 0.581, 0.500) and Th at (0.190, 0.733, 0.000).

For the total energy, the calculation gives -5.71 eV/atom.